DFT (GGA-PBE) results for a relaxed Cs2CeDySe4 crystal.

## Properties
* SG: P2/m, No. 10
* total magnetic moment: 0.126 μB/atom
* ΔE_f (raw): -13.53 eV per formula unit

```
Cs2CeDySe4
1.0
-0.681 1.275 -4.109
2.341 -6.732 -2.477
-8.629 -0.644 1.229
Dy Se Ce Cs
1 4 1 2
Direct
0.000 0.000 0.000 Dy
0.500 0.221 0.186 Se
0.000 0.263 0.812 Se
0.500 0.779 0.814 Se
0.000 0.737 0.188 Se
0.500 0.500 0.000 Ce
0.500 0.000 0.500 Cs
0.000 0.500 0.500 Cs
```